Here is HgTeCl3 at its PBEsol-relaxed geometry from Alexandria via LeMat-Bulk. Energies are from meta-GGA SCAN.

The structure belongs to space group Pm-3m (No. 221); the cell edges are 5.2550, 5.2550 and 5.2550 Å and the angles 90.00°, 90.00° and 90.00°. The distinct sites, in fractional coordinates, are Hg at (0.0000, 0.0000, 0.0000), Te at (0.5000, 0.5000, 0.5000) and Cl at (0.0000, 0.5000, 0.5000).

For the density, the calculation gives 5.0 Mg/m³. The raw formation energy comes out at -0.347 eV per atom. The uncorrected energy comes out at -26.217 eV/atom. As for the crystal system: cubic.